1.
{"formula": "Cs2LiMoCl6", "functional": "PBE-GGA", "state": "relaxed", "lattice_angstrom": [[-2.0854, -4.8617, 5.1677], [-3.2200, -6.3544, -1.9860], [9.0923, -9.0503, 0.4463]], "species": ["Cl", "Cl", "Cl", "Cl", "Cl", "Cl", "Cl", "Cl", "Cl", "Cl", "Cl", "Cl", "Cs", "Cs", "Cs", "Cs", "Li", "Li", "Mo", "Mo"], "fractional_positions": [[0.1976, 0.1976, 0.8823], [0.3871, 0.8484, 0.3774], [0.8484, 0.3871, 0.3774], [0.8024, 0.8024, 0.1177], [0.2775, 0.8024, 0.1177], [0.1516, 0.6129, 0.6226], [0.6129, 0.6129, 0.6226], [0.7225, 0.1976, 0.8823], [0.6129, 0.1516, 0.6226], [0.8024, 0.2775, 0.1177], [0.1976, 0.7225, 0.8823], [0.3871, 0.3871, 0.3774], [0.2911, 0.2911, 0.1268], [0.7089, 0.7089, 0.8732], [0.8744, 0.8744, 0.3767], [0.1256, 0.1256, 0.6233], [0.4134, 0.4134, 0.7597], [0.5866, 0.5866, 0.2403], [0.0000, 0.0000, 0.0000], [0.5000, 0.5000, 0.5000]], "space_group": "R-3m (166)", "magnetic_moment_mub_per_cell": 6.00, "formation_energy_uncorrected_ev_per_atom": -1.5507, "polymorph_energy_mev_per_atom": 0}

***

2.
{"formula": "AlMo2Ir2", "functional": "PBE-GGA", "state": "relaxed", "lattice_angstrom": [[-4.9639, -2.4099, -5.2455], [-4.8626, -1.9827, 5.5124], [-1.1431, 2.5517, -0.0906]], "species": ["Ir", "Ir", "Ir", "Ir", "Mo", "Mo", "Mo", "Mo", "Al", "Al"], "fractional_positions": [[0.3739, 0.8739, 0.0000], [0.6261, 0.1261, 0.0000], [0.8739, 0.6261, 0.0000], [0.1261, 0.3739, 0.0000], [0.1688, 0.6688, 0.5000], [0.3312, 0.1688, 0.5000], [0.6688, 0.8312, 0.5000], [0.8312, 0.3312, 0.5000], [0.5000, 0.5000, 0.0000], [0.0000, 0.0000, 0.0000]], "ef_mev_per_atom": -88, "space_group": "P4/mbm (127)", "magnetic_moment_mub_per_cell": 0.00}

***

3.
{"formula": "CaTc2Cl2", "functional": "PBE-GGA", "state": "relaxed", "lattice_angstrom": [[-2.0607, 2.0607, 5.5002], [2.0607, -2.0607, 5.5002], [2.0607, 2.0607, -5.5002]], "species": ["Tc", "Tc", "Cl", "Cl", "Ca"], "fractional_positions": [[0.2500, 0.7500, 0.5000], [0.7500, 0.2500, 0.5000], [0.3621, 0.3621, 0.0000], [0.6379, 0.6379, 0.0000], [0.0000, 0.0000, 0.0000]], "space_group": "I4/mmm (139)", "magnetic_moment_mub_per_cell": 0.00, "formation_energy_uncorrected_ev_per_atom": 0.3099, "polymorph_energy_mev_per_atom": 687}

***

4.
{"formula": "FeBRhS2", "functional": "PBE-GGA", "state": "relaxed", "lattice_angstrom": [[4.3917, 0.0000, 0.0000], [0.0000, 3.6859, 0.0000], [0.0000, 0.0000, 4.3917]], "species": ["S", "S", "Rh", "Fe", "B"], "fractional_positions": [[0.0000, 0.0000, 0.5000], [0.5000, 0.0000, 0.0000], [0.5000, 0.5000, 0.5000], [0.0000, 0.0000, 0.0000], [0.0000, 0.5000, 0.0000]], "space_group": "P4/mmm (123)", "magnetic_moment_mub_per_cell": 0.50, "formation_energy_uncorrected_ev_per_atom": 0.7614}